8
Lattice="3.1542 0.0000 0.0000 0.0000 3.1542 0.0000 0.0000 0.0000 12.6729" Properties=species:S:1:pos:R:3 comment="Li3TiAu4 (PBE, optimized geometry)" vol_a3_per_fu=126 ef_ev_per_atom=-0.487 pbc="T T T"
Li 0.0000 0.0000 0.0000
Li 0.0000 0.0000 3.0155
Li 0.0000 0.0000 9.6574
Ti 0.0000 0.0000 6.3365
Au 1.5771 1.5771 1.5224
Au 1.5771 1.5771 4.6054
Au 1.5771 1.5771 8.0676
Au 1.5771 1.5771 11.1505


6
Lattice="-2.3529 2.3529 9.2942 2.3529 -2.3529 9.2942 2.3529 2.3529 -9.2942" Properties=species:S:1:pos:R:3 comment="La2Bi (PBE, optimized geometry)" vol_a3_per_fu=103 ef_ev_per_atom=-0.749 e_above_lowest_polymorph_kj_per_mol_fu=0 pbc="T T T"
La 2.3529 0.0000 0.0000
La 0.0000 0.0000 3.3278
La 0.0000 2.3529 0.0000
La 0.0000 0.0000 15.2606
Bi 0.0000 0.0000 6.7240
Bi 0.0000 0.0000 11.8645